ErMo2O6: optimized geometry, PBE with a Hubbard U.

The structure in CIF format:
```
data_ErMo2O6
_cell_length_a 5.2693
_cell_length_b 5.2693
_cell_length_c 4.8835
_cell_angle_alpha 90.00
_cell_angle_beta 90.00
_cell_angle_gamma 120.00
_symmetry_space_group_name_H-M 'P 1'
_symmetry_Int_Tables_number 1
loop_
_symmetry_equiv_pos_as_xyz
'x,y,z'
loop_
_atom_site_label
_atom_site_type_symbol
_atom_site_fract_x
_atom_site_fract_y
_atom_site_fract_z
_atom_site_occupancy
Er1 Er 0.0000 0.0000 0.0000 1
Mo1 Mo 0.3333 0.6667 0.5000 1
Mo2 Mo 0.6667 0.3333 0.5000 1
O1 O 0.0000 0.3519 0.2718 1
O2 O 0.0000 0.6481 0.7282 1
O3 O 0.3519 0.0000 0.2718 1
O4 O 0.3519 0.3519 0.7282 1
O5 O 0.6481 0.0000 0.7282 1
O6 O 0.6481 0.6481 0.2718 1
```

- N(E_F): 0.446 states/eV per atom
- V: 13.05 A^3/atom
- Crystal system: trigonal
- E_tot: -67.9 eV per formula unit